DFT (PBE-GGA) results for a geometry-optimized RbNiTe3Rh structure.

## Properties
Calculated total energy ... -4.39 eV/atom
Space group ... P2_1/m, No. 11
Crystal system ... monoclinic

a = 4.0181 Å, b = 9.3560 Å, c = 10.5091 Å
α = 117.98°, β = 90.00°, γ = 90.00°
Positions (direct):
Rb1 0.7500 0.7513 0.7307
Te1 0.2500 0.1258 0.8570
Ni1 0.7500 0.9089 0.3905
Ni2 0.2500 0.0911 0.6095
Te2 0.2500 0.7878 0.4497
Rh1 0.7500 0.3132 0.8408
Rh2 0.2500 0.6868 0.1592
Rb2 0.2500 0.2487 0.2693
Te3 0.7500 0.4824 0.1298
Te4 0.7500 0.8742 0.1430
Te5 0.7500 0.2122 0.5503
Te6 0.2500 0.5176 0.8702